# 1
BaLi2Tl | PBE-GGA | optimized geometry

Unit cell a=5.151 b=3.818 c=6.438 alpha=83.60 beta=90.00 gamma=90.00
Atoms (fractional coordinates):
Li 0.000 0.446 0.418
Li 0.000 0.054 0.082
Tl 0.500 0.250 0.250
Ba 0.500 0.750 0.750

Results
The space-group type is P2/m (10). As for the energy above the most stable polymorph in this dataset: 118.3 meV per atom. Its formation energy is -0.093 eV/atom. For the total DFT energy (no corrections), the calculation gives -2.123 eV/atom.

---

# 2
Ba2LiTl | PBE-GGA | optimized geometry

Unit cell a=7.053 b=7.053 c=6.053 alpha=65.34 beta=65.34 gamma=34.86
Atoms (fractional coordinates):
Tl 0.789 0.789 0.716
Ba 0.231 0.231 0.271
Ba 0.033 0.033 0.964
Li 0.447 0.447 0.550

Results
The space-group type is Cm (8). Its formation energy is -0.185 eV/atom. For the total DFT energy (no corrections), the calculation gives -2.216 eV/atom.

---

# 3
BaLiTl | PBE-GGA | optimized geometry

Unit cell a=5.348 b=5.348 c=5.348 alpha=60.00 beta=60.00 gamma=60.00
Atoms (fractional coordinates):
Ba 0.500 0.500 0.500
Tl 0.000 0.000 0.000
Li 0.750 0.750 0.750

Results
The space-group type is F-43m (216). As for the energy above the most stable polymorph in this dataset: 207.0 meV per atom. Its formation energy is -0.048 eV/atom. For the total DFT energy (no corrections), the calculation gives -2.116 eV/atom.

---

# 4
Ba2Li12Tl7 | PBE-GGA | optimized geometry

Unit cell a=4.672 b=11.007 c=11.007 alpha=120.00 beta=90.00 gamma=90.00
Atoms (fractional coordinates):
Ba 0.000 0.667 0.333
Ba 0.500 0.000 0.000
Li 0.500 0.376 0.343
Li 0.000 0.852 0.708
Li 0.500 0.218 0.495
Li 0.000 0.292 0.144
Li 0.000 0.856 0.148
Li 0.500 0.966 0.624
Li 0.000 0.046 0.512
Li 0.000 0.488 0.534
Li 0.500 0.505 0.723
Li 0.500 0.657 0.034
Li 0.500 0.277 0.782
Li 0.000 0.466 0.954
Tl 0.500 0.680 0.606
Tl 0.000 0.333 0.667
Tl 0.000 0.161 0.311
Tl 0.500 0.394 0.074
Tl 0.000 0.150 0.839
Tl 0.500 0.926 0.320
Tl 0.000 0.689 0.850

Results
The space-group type is P-6 (174). Its formation energy is -0.243 eV/atom. For the total DFT energy (no corrections), the calculation gives -2.309 eV/atom.

---

# 5
BaLi6Tl2 | PBE-GGA | optimized geometry

Unit cell a=4.890 b=4.890 c=9.512 alpha=90.00 beta=90.00 gamma=90.00
Atoms (fractional coordinates):
Tl 0.500 0.500 0.834
Tl 0.500 0.500 0.166
Li 0.500 0.500 0.500
Li 0.500 0.000 0.677
Li 0.000 0.500 0.323
Li 0.000 0.500 0.677
Li 0.500 0.000 0.323
Li 0.000 0.000 0.500
Ba 0.000 0.000 0.000

Results
The space-group type is P4/mmm (123). Its formation energy is -0.142 eV/atom. For the total DFT energy (no corrections), the calculation gives -2.158 eV/atom.

---

# 6
BaLi3Tl | PBE-GGA | optimized geometry

Unit cell a=4.894 b=4.894 c=13.217 alpha=100.67 beta=100.67 gamma=90.00
Atoms (fractional coordinates):
Ba 0.000 0.000 0.000
Ba 0.250 0.750 0.500
Li 0.628 0.872 0.744
Li 0.591 0.591 0.182
Li 0.128 0.372 0.256
Li 0.116 0.872 0.744
Li 0.128 0.884 0.256
Li 0.409 0.409 0.818
Tl 0.843 0.343 0.686
Tl 0.657 0.157 0.314

Results
The space-group type is I-4m2 (119). As for the energy above the most stable polymorph in this dataset: 128.4 meV per atom. Its formation energy is 0.004 eV/atom. For the total DFT energy (no corrections), the calculation gives -2.002 eV/atom.

---

# 7
BaLi2Tl9 | PBE-GGA | optimized geometry

Unit cell a=4.215 b=9.871 c=9.871 alpha=120.00 beta=90.00 gamma=90.00
Atoms (fractional coordinates):
Tl 0.000 0.500 0.500
Tl 0.500 0.801 0.602
Tl 0.500 0.602 0.801
Tl 0.500 0.398 0.199
Tl 0.500 0.199 0.398
Tl 0.500 0.199 0.801
Tl 0.500 0.801 0.199
Tl 0.000 0.500 0.000
Tl 0.000 0.000 0.500
Li 0.000 0.667 0.333
Li 0.000 0.333 0.667
Ba 0.000 0.000 0.000

Results
The space-group type is P6/mmm (191). Its formation energy is -0.125 eV/atom. For the total DFT energy (no corrections), the calculation gives -2.379 eV/atom.

---

# 8
BaLi2Tl | PBE-GGA | optimized geometry

Unit cell a=5.912 b=5.912 c=5.912 alpha=134.55 beta=120.39 gamma=78.03
Atoms (fractional coordinates):
Li 0.752 0.252 0.500
Li 0.956 0.956 0.000
Ba 0.252 0.752 0.500
Tl 0.540 0.540 0.000

Results
The space-group type is Imm2 (44). As for the energy above the most stable polymorph in this dataset: 84.5 meV per atom. Its formation energy is -0.127 eV/atom. For the total DFT energy (no corrections), the calculation gives -2.156 eV/atom.

---

# 9
Ba2LiTl2 | PBE-GGA | optimized geometry

Unit cell a=4.540 b=4.540 c=10.821 alpha=77.89 beta=77.89 gamma=90.00
Atoms (fractional coordinates):
Ba 0.606 0.606 0.789
Ba 0.394 0.394 0.211
Li 0.000 0.000 0.000
Tl 0.250 0.750 0.500
Tl 0.750 0.250 0.500

Results
The space-group type is I4/mmm (139). As for the energy above the most stable polymorph in this dataset: 284.1 meV per atom. Its formation energy is -0.029 eV/atom. For the total DFT energy (no corrections), the calculation gives -2.127 eV/atom.

---

# 10
BaLi10Tl | PBE-GGA | optimized geometry

Unit cell a=4.873 b=5.830 c=10.142 alpha=90.00 beta=90.00 gamma=90.00
Atoms (fractional coordinates):
Li 0.000 0.000 0.641
Li 0.500 0.733 0.283
Li 0.000 0.500 0.210
Li 0.500 0.500 0.000
Li 0.500 0.733 0.717
Li 0.000 0.000 0.359
Li 0.500 0.267 0.283
Li 0.500 0.000 0.500
Li 0.000 0.500 0.790
Li 0.500 0.267 0.717
Ba 0.000 0.000 0.000
Tl 0.000 0.500 0.500

Results
The space-group type is Pmmm (47). Its formation energy is 0.016 eV/atom. For the total DFT energy (no corrections), the calculation gives -1.937 eV/atom.

---

# 11
Ba6Li5Tl | PBE-GGA | optimized geometry

Unit cell a=6.166 b=10.727 c=10.727 alpha=119.99 beta=106.71 gamma=106.71
Atoms (fractional coordinates):
Ba 0.244 0.405 0.083
Ba 0.756 0.917 0.595
Ba 0.756 0.595 0.917
Ba 0.738 0.238 0.238
Ba 0.244 0.083 0.405
Ba 0.262 0.762 0.762
Tl 0.000 0.000 0.000
Li 0.500 0.171 0.829
Li 0.500 0.500 0.500
Li 0.000 0.332 0.668
Li 0.500 0.829 0.171
Li 0.000 0.668 0.332

Results
The space-group type is Immm (71). Its formation energy is -0.053 eV/atom. For the total DFT energy (no corrections), the calculation gives -2.009 eV/atom.

---

# 12
BaLi3Tl | PBE-GGA | optimized geometry

Unit cell a=6.085 b=6.085 c=6.085 alpha=90.00 beta=90.00 gamma=90.00
Atoms (fractional coordinates):
Li 0.000 0.500 0.000
Li 0.000 0.000 0.500
Li 0.500 0.000 0.000
Ba 0.000 0.000 0.000
Tl 0.500 0.500 0.500

Results
The space-group type is Pm-3m (221). As for the energy above the most stable polymorph in this dataset: 952.2 meV per atom. Its formation energy is 0.828 eV/atom. For the total DFT energy (no corrections), the calculation gives -1.178 eV/atom.